[1]
VASP calculation (PBE) on a geometry-optimized Na4Ho3VS8 structure.

Cell and atoms, written as extended XYZ:
```
16
Lattice="3.870 2.235 6.673 -3.870 2.235 6.673 0.000 -4.469 6.673" Properties=species:S:1:pos:R:3 pbc="T T T"
Na 0.000 0.000 0.000
Na -1.935 -1.117 6.673
Na -1.935 1.117 13.347
Na 0.000 2.235 6.673
Ho -3.870 0.000 10.010
Ho -1.935 1.117 3.337
Ho 1.935 1.117 3.337
V 0.000 0.000 10.010
S 0.000 0.000 4.867
S -1.817 -1.049 11.463
S 0.000 -2.098 8.556
S -1.817 1.049 8.556
S 1.817 -1.049 11.463
S 0.000 2.098 11.463
S 1.817 1.049 8.556
S 0.000 0.000 15.153
```

Calculated values
Symmetry = R-3m, No. 166
D(E_F) = 8.56 states/eV/f.u.
Calculated density = 4.288 Mg/m³
Energy = -5.43 eV per atom

---

[2]
VASP calculation (PBE) on a geometry-optimized Na3Y2HoS6 structure.

Cell and atoms, written as extended XYZ:
```
12
Lattice="3.448 -5.972 0.000 3.448 5.972 0.000 -2.298 0.000 6.684" Properties=species:S:1:pos:R:3 pbc="T T T"
Na 0.000 0.000 0.000
Na 3.448 1.992 0.000
Na 3.448 -1.992 0.000
Y 2.299 3.981 3.342
Y 2.299 -3.981 3.342
Ho 2.299 0.000 3.342
S 1.155 1.982 1.827
S 0.011 0.000 4.857
S 1.155 -1.982 1.827
S 3.443 1.982 4.858
S 4.587 0.000 1.828
S 3.443 -1.982 4.858
```

Calculated values
Symmetry = C2/m, No. 12
D(E_F) = 0.00 states/eV/f.u.
Calculated density = 3.645 Mg/m³
Energy = -5.70 eV per atom

---

[3]
VASP calculation (PBE) on a geometry-optimized Na4YHo3S8 structure.

Cell and atoms, written as extended XYZ:
```
16
Lattice="3.972 2.293 6.680 -3.972 2.293 6.680 0.000 -4.586 6.680" Properties=species:S:1:pos:R:3 pbc="T T T"
Na 0.000 0.000 0.000
Na -1.986 -1.147 6.680
Na -1.986 1.147 13.359
Na 0.000 2.293 6.680
Y 0.000 0.000 10.020
Ho -3.972 0.000 10.020
Ho -1.986 1.147 3.340
Ho 1.986 1.147 3.340
S -1.993 -1.151 11.531
S 0.000 0.000 4.846
S 0.000 -2.302 8.508
S -1.993 1.151 8.508
S 1.993 -1.151 11.531
S 0.000 2.302 11.531
S 0.000 0.000 15.193
S 1.993 1.151 8.508
```

Calculated values
Symmetry = R-3m, No. 166
D(E_F) = 0.00 states/eV/f.u.
Calculated density = 4.240 Mg/m³
Energy = -5.51 eV per atom

---

[4]
VASP calculation (PBE) on a geometry-optimized NaY4HoS8 structure.

Cell and atoms, written as extended XYZ:
```
14
Lattice="4.053 2.340 6.602 -4.053 2.340 6.602 0.000 -4.680 6.602" Properties=species:S:1:pos:R:3 pbc="T T T"
Na 0.000 0.000 0.000
Y -2.099 -1.212 9.043
Y 0.000 0.000 4.941
Y 2.099 -1.212 9.043
Y 0.000 2.423 9.043
Ho 0.000 0.000 12.465
S 0.000 0.000 7.581
S 0.000 -2.182 10.677
S -1.889 1.091 10.677
S -1.843 -1.064 14.086
S 1.889 1.091 10.677
S 1.843 -1.064 14.086
S 0.000 2.129 14.086
S 0.000 0.000 17.109
```

Calculated values
Symmetry = R3m, No. 160
D(E_F) = 0.00 states/eV/f.u.
Calculated density = 3.536 Mg/m³
Energy = -6.59 eV per atom

---

[5]
VASP calculation (PBE) on a geometry-optimized NaY2HoS4 structure.

Cell and atoms, written as extended XYZ:
```
8
Lattice="6.815 0.000 0.000 0.000 3.908 0.000 -2.231 0.000 6.441" Properties=species:S:1:pos:R:3 pbc="T T T"
Na 0.000 0.000 0.000
Y 2.292 0.000 3.220
Y 3.408 1.954 0.000
Ho -1.115 1.954 3.220
S 0.024 0.000 4.815
S 1.158 1.954 1.647
S 3.427 1.954 4.793
S 4.561 0.000 1.625
```

Calculated values
Symmetry = P2/m, No. 10
D(E_F) = 2.62 states/eV/f.u.
Calculated density = 4.783 Mg/m³
Energy = -6.34 eV per atom

---

[6]
VASP calculation (PBE) on a geometry-optimized Na2YHoS4 structure.

Cell and atoms, written as extended XYZ:
```
8
Lattice="6.888 0.000 0.000 0.000 3.978 0.000 -2.293 0.000 6.683" Properties=species:S:1:pos:R:3 pbc="T T T"
Na 0.000 0.000 0.000
Na 3.444 1.989 0.000
Y -1.146 1.989 3.341
Ho 2.298 0.000 3.341
S 0.011 0.000 4.857
S 1.159 1.989 1.831
S 3.436 1.989 4.852
S 4.585 0.000 1.826
```

Calculated values
Symmetry = P2/m, No. 10
D(E_F) = 0.00 states/eV/f.u.
Calculated density = 3.882 Mg/m³
Energy = -5.63 eV per atom

---

[7]
VASP calculation (PBE) on a geometry-optimized NaYHo4S8 structure.

Cell and atoms, written as extended XYZ:
```
14
Lattice="4.031 2.327 6.604 -4.031 2.327 6.604 0.000 -4.655 6.604" Properties=species:S:1:pos:R:3 pbc="T T T"
Na 0.000 0.000 0.000
Y 0.000 0.000 7.329
Ho 0.000 -2.412 10.750
Ho -2.089 1.206 10.750
Ho 0.000 0.000 14.842
Ho 2.089 1.206 10.750
S 0.000 -2.127 5.682
S -1.842 1.064 5.682
S 0.000 0.000 2.690
S -1.891 -1.092 9.128
S 1.842 1.064 5.682
S 0.000 0.000 12.211
S 1.891 -1.092 9.128
S 0.000 2.184 9.128
```

Calculated values
Symmetry = R3m, No. 160
D(E_F) = 0.00 states/eV/f.u.
Calculated density = 4.592 Mg/m³
Energy = -6.18 eV per atom

---

[8]
VASP calculation (PBE) on a geometry-optimized Na2Ho2ZrS6 structure.

Cell and atoms, written as extended XYZ:
```
11
Lattice="3.380 -5.797 0.000 3.380 5.797 0.000 -2.242 0.000 6.766" Properties=species:S:1:pos:R:3 pbc="T T T"
Na 3.380 3.842 0.000
Na 3.380 -3.842 0.000
Ho 2.259 1.926 3.383
Ho 2.259 -1.926 3.383
Zr -1.121 0.000 3.383
S -0.044 1.864 4.861
S 1.011 0.000 1.912
S -0.044 -1.864 4.861
S 4.561 1.864 1.905
S 3.506 0.000 4.854
S 4.561 -1.864 1.905
```

Calculated values
Symmetry = C2/m, No. 12
D(E_F) = 0.00 states/eV/f.u.
Calculated density = 4.131 Mg/m³
Energy = -5.86 eV per atom

---

[9]
VASP calculation (PBE) on a geometry-optimized Na3Ho2ZrS6 structure.

Cell and atoms, written as extended XYZ:
```
12
Lattice="3.352 -5.805 0.000 3.352 5.805 0.000 -2.238 0.000 6.724" Properties=species:S:1:pos:R:3 pbc="T T T"
Na 0.000 0.000 0.000
Na 3.352 1.953 0.000
Na 3.352 -1.953 0.000
Ho 2.233 3.871 3.362
Ho 2.233 -3.871 3.362
Zr 2.233 0.000 3.362
S 1.152 1.872 1.840
S 0.073 0.000 4.879
S 1.152 -1.872 1.840
S 3.313 1.872 4.884
S 4.393 0.000 1.845
S 3.313 -1.872 4.884
```

Calculated values
Symmetry = C2/m, No. 12
D(E_F) = 4.04 states/eV/f.u.
Calculated density = 4.331 Mg/m³
Energy = -5.57 eV per atom

---

[10]
VASP calculation (PBE) on a geometry-optimized Na4Ho3ZrS8 structure.

Cell and atoms, written as extended XYZ:
```
16
Lattice="3.897 2.250 6.703 -3.897 2.250 6.703 0.000 -4.500 6.703" Properties=species:S:1:pos:R:3 pbc="T T T"
Na 0.000 0.000 0.000
Na -1.948 -1.125 6.703
Na -1.948 1.125 13.407
Na 0.000 2.250 6.703
Ho -3.897 0.000 10.055
Ho -1.948 1.125 3.352
Ho 1.948 1.125 3.352
Zr 0.000 0.000 10.055
S 0.000 0.000 4.886
S -1.889 -1.091 11.562
S 0.000 -2.181 8.548
S -1.889 1.091 8.548
S 1.889 -1.091 11.562
S 0.000 2.181 11.562
S 1.889 1.091 8.548
S 0.000 0.000 15.224
```

Calculated values
Symmetry = R-3m, No. 166
D(E_F) = 4.52 states/eV/f.u.
Calculated density = 4.401 Mg/m³
Energy = -5.52 eV per atom

---

[11]
VASP calculation (PBE) on a geometry-optimized Na3HoZr2S6 structure.

Cell and atoms, written as extended XYZ:
```
12
Lattice="3.268 -5.662 0.000 3.268 5.662 0.000 -2.184 0.000 6.787" Properties=species:S:1:pos:R:3 pbc="T T T"
Na 0.000 0.000 0.000
Na 3.268 1.860 0.000
Na 3.268 -1.860 0.000
Ho 2.176 0.000 3.394
Zr 2.176 3.772 3.394
Zr 2.176 -3.772 3.394
S 1.053 1.946 1.859
S -0.071 0.000 4.928
S 1.053 -1.946 1.859
S 3.299 1.946 4.928
S 4.422 0.000 1.860
S 3.299 -1.946 4.928
```

Calculated values
Symmetry = C2/m, No. 12
D(E_F) = 4.85 states/eV/f.u.
Calculated density = 4.025 Mg/m³
Energy = -5.78 eV per atom

---

[12]
VASP calculation (PBE) on a geometry-optimized NaHoSb structure.

Cell and atoms, written as extended XYZ:
```
12
Lattice="8.497 0.000 0.000 0.000 4.800 0.000 0.000 0.000 9.046" Properties=species:S:1:pos:R:3 pbc="T T T"
Na 0.225 1.200 1.539
Na 4.024 3.600 6.062
Na 4.473 1.200 2.983
Na 8.273 3.600 7.506
Ho 1.167 1.200 5.117
Ho 3.081 3.600 0.594
Ho 5.416 1.200 8.452
Ho 7.330 3.600 3.929
Sb 1.975 3.600 3.434
Sb 2.274 1.200 7.957
Sb 6.224 3.600 1.089
Sb 6.522 1.200 5.612
```

Calculated values
Symmetry = Pnma, No. 62
D(E_F) = 2.23 states/eV/f.u.
Calculated density = 5.575 Mg/m³
Energy = -3.86 eV per atom